(1)
An optimized crystal structure of SbRu5. Source: the Alexandria database, functional PBE.

```
SbRu5
1.0
-3.329 -1.957 3.367
-3.917 -2.866 -1.641
-0.048 -5.040 0.921
Ru Sb
5 1
Direct
0.624 0.624 0.624
0.624 0.128 0.624
0.250 0.250 0.250
0.624 0.624 0.128
0.128 0.624 0.624
0.000 0.000 0.000
```

Values from the calculation:
Mass density: 10.95 g/cm³
Crystal system: cubic
DOS at the Fermi energy: 10.4 states/eV/f.u.
E above lowest polymorph: 0.569 eV/atom

(2)
An optimized crystal structure of SbRu3. Source: the Alexandria database, functional PBE.

```
SbRu3
1.0
4.690 -0.014 0.000
-1.211 4.530 0.000
0.000 0.000 2.910
Ru Sb
3 1
Direct
0.500 0.000 0.500
0.500 0.500 0.000
0.000 0.500 0.500
0.000 0.000 0.000
```

Values from the calculation:
Mass density: 11.42 g/cm³
Crystal system: orthorhombic
DOS at the Fermi energy: 5.2 states/eV/f.u.

(3)
An optimized crystal structure of SbRu. Source: the Alexandria database, functional PBE.

```
SbRu
1.0
-0.071 0.256 -3.159
-2.964 -1.124 -0.024
-1.232 3.243 0.291
Sb Ru
1 1
Direct
0.500 0.500 0.500
0.000 0.000 0.000
```

Values from the calculation:
Mass density: 10.57 g/cm³
Crystal system: tetragonal
DOS at the Fermi energy: 1.5 states/eV/f.u.

(4)
An optimized crystal structure of SbRu. Source: the Alexandria database, functional PBE.

```
SbRu
1.0
-3.018 -0.419 0.898
-1.305 -0.162 -4.459
0.651 -4.724 -0.019
Ru Sb
2 2
Direct
0.000 0.500 0.388
0.000 0.000 0.946
0.500 0.500 0.909
0.500 0.000 0.424
```

Values from the calculation:
Mass density: 10.51 g/cm³
Crystal system: orthorhombic
DOS at the Fermi energy: 2.2 states/eV/f.u.

(5)
An optimized crystal structure of SbRu. Source: the Alexandria database, functional PBE.

```
SbRu
1.0
-5.062 0.691 0.248
-4.789 -3.670 1.590
-0.788 0.890 3.050
Sb Ru
2 2
Direct
0.408 0.088 0.252
0.509 0.495 0.498
0.881 0.582 0.768
0.035 0.002 0.982
```

Values from the calculation:
Mass density: 10.38 g/cm³
Crystal system: monoclinic
DOS at the Fermi energy: 0.9 states/eV/f.u.

(6)
An optimized crystal structure of Sb5Ru. Source: the Alexandria database, functional PBE.

```
Sb5Ru
1.0
2.102 -8.161 0.000
2.102 8.161 0.000
0.000 0.000 5.197
Sb Ru
5 1
Direct
0.367 0.633 0.500
0.657 0.343 0.000
0.056 0.944 0.500
0.454 0.546 0.000
0.744 0.256 0.500
0.056 0.944 0.000
```

Values from the calculation:
Mass density: 6.61 g/cm³
Crystal system: orthorhombic
DOS at the Fermi energy: 2.5 states/eV/f.u.
E above lowest polymorph: 0.000 eV/atom

(7)
An optimized crystal structure of ScSb2Ru. Source: the Alexandria database, functional PBE.

```
ScSb2Ru
1.0
-1.108 -3.898 -0.656
2.721 -1.056 1.679
-0.386 -1.027 6.752
Sb Ru Sc
2 1 1
Direct
0.000 0.051 0.950
0.500 0.212 0.288
0.500 0.711 0.790
0.000 0.527 0.472
```

Values from the calculation:
Mass density: 7.87 g/cm³
Crystal system: monoclinic
DOS at the Fermi energy: 3.1 states/eV/f.u.

(8)
An optimized crystal structure of ScSb2Ru. Source: the Alexandria database, functional PBE.

```
ScSb2Ru
1.0
-3.382 -0.106 -2.616
-0.444 -3.232 0.705
-3.575 0.876 4.586
Ru Sc Sb
1 1 2
Direct
0.500 0.750 0.750
0.500 0.250 0.250
0.000 0.898 0.993
0.000 0.602 0.507
```

Values from the calculation:
Mass density: 7.75 g/cm³
Crystal system: monoclinic
DOS at the Fermi energy: 2.3 states/eV/f.u.

(9)
An optimized crystal structure of ScSb2Ru. Source: the Alexandria database, functional PBE.

```
ScSb2Ru
1.0
9.729 -0.008 -0.004
9.171 3.249 -0.004
9.171 1.573 2.843
Sb Sc Ru
2 1 1
Direct
0.019 0.019 0.019
0.240 0.240 0.240
0.489 0.489 0.489
0.752 0.752 0.752
```

Values from the calculation:
Mass density: 7.17 g/cm³
Crystal system: trigonal
DOS at the Fermi energy: 1.6 states/eV/f.u.

(10)
An optimized crystal structure of ScSb2Ru. Source: the Alexandria database, functional PBE.

```
ScSb2Ru
1.0
-4.818 3.623 -3.306
-6.860 -0.259 -0.389
5.913 0.377 3.489
Ru Sb Sc
1 2 1
Direct
0.780 0.280 0.500
0.216 0.716 0.500
0.950 0.950 0.000
0.554 0.554 0.000
```

Values from the calculation:
Mass density: 7.57 g/cm³
Crystal system: orthorhombic
DOS at the Fermi energy: 1.9 states/eV/f.u.

(11)
An optimized crystal structure of Sc2SbRu2. Source: the Alexandria database, functional PBE.

```
Sc2SbRu2
1.0
-1.514 -1.958 3.497
2.787 -3.200 -0.586
4.339 0.080 4.547
Sb Sc Ru
1 2 2
Direct
0.000 0.000 0.000
0.250 0.750 0.500
0.750 0.250 0.500
0.390 0.390 0.219
0.610 0.610 0.781
```

Values from the calculation:
Mass density: 6.80 g/cm³
Crystal system: tetragonal
DOS at the Fermi energy: 6.2 states/eV/f.u.
E above lowest polymorph: 0.489 eV/atom

(12)
An optimized crystal structure of ScSb2Ru. Source: the Alexandria database, functional PBE.

```
ScSb2Ru
1.0
3.399 0.000 0.000
0.000 5.718 0.003
0.000 3.850 4.245
Sb Ru Sc
2 1 1
Direct
0.500 0.500 0.000
0.000 0.000 0.000
0.000 0.000 0.500
0.500 0.500 0.500
```

Values from the calculation:
Mass density: 7.84 g/cm³
Crystal system: monoclinic
DOS at the Fermi energy: 3.4 states/eV/f.u.

Number 1: formation energy (no corrections) 0.663 eV per atom. Number 2: formation energy (no corrections) 0.244 eV per atom. Number 3: formation energy (no corrections) 0.130 eV per atom. Number 4: formation energy (no corrections) 0.135 eV per atom. Number 5: formation energy (no corrections) 0.026 eV per atom. Number 6: formation energy (no corrections) 0.051 eV per atom. Number 7: formation energy (no corrections) -0.269 eV per atom. Number 8: formation energy (no corrections) -0.231 eV per atom. Number 9: formation energy (no corrections) -0.154 eV per atom. Number 10: formation energy (no corrections) -0.387 eV per atom. Number 11: formation energy (no corrections) 0.058 eV per atom. Number 12: formation energy (no corrections) -0.170 eV per atom.